# Zn4CoRh5 (GGA-PBE, relaxed)
# magnetic moment	3.7	μB/cell
# calculated total energy	-5.1709	eV per atom
# energy relative to the elements	-275.0	meV per atom
data_Zn4CoRh5
_chemical_formula_sum 'Zn4 Co1 Rh5'
_space_group_name_H-M_alt 'P 4/m m m'
_space_group_IT_number 123
_space_group_name_Hall '-P 4 2'
_cell_length_a 3.003
_cell_length_b 3.003
_cell_length_c 15.148
_cell_angle_alpha 90.00
_cell_angle_beta 90.00
_cell_angle_gamma 90.00
loop_
_atom_site_label
_atom_site_type_symbol
_atom_site_fract_x
_atom_site_fract_y
_atom_site_fract_z
Zn1 Zn 0.000 0.000 0.100
Zn2 Zn 0.000 0.000 0.300
Co1 Co 0.000 0.000 0.500
Rh1 Rh 0.500 0.500 0.000
Rh2 Rh 0.500 0.500 0.201
Rh3 Rh 0.500 0.500 0.403

=====

# Hf4Np (GGA-PBE, relaxed)
# magnetic moment	0.8	μB/cell
# calculated total energy	-9.4839	eV per atom
# energy relative to the elements	1067.0	meV per atom
data_Hf4Np
_chemical_formula_sum 'Hf4 Np1'
_space_group_name_H-M_alt 'P m -3 m'
_space_group_IT_number 221
_space_group_name_Hall '-P 4 2 3'
_cell_length_a 4.970
_cell_length_b 4.970
_cell_length_c 4.970
_cell_angle_alpha 90.00
_cell_angle_beta 90.00
_cell_angle_gamma 90.00
loop_
_atom_site_label
_atom_site_type_symbol
_atom_site_fract_x
_atom_site_fract_y
_atom_site_fract_z
Hf1 Hf 0.000 0.000 0.000
Hf2 Hf 0.000 0.500 0.500
Np1 Np 0.500 0.500 0.500